Density functional theory data (PBE with a Hubbard U) for crystalline CsNiRhF6 at its relaxed geometry.

abc: 5.384 5.392 6.609
angles: 90.14 90.07 59.94
Positions (direct):
F  0.364  0.005  0.666
F  0.632  0.365  0.666
F  0.004  0.364  0.334
F  0.632  0.003  0.334
Cs  0.000  0.000  0.000
Rh  0.334  0.333  0.500
Ni  0.666  0.667  0.500
F  0.364  0.631  0.334
F  0.004  0.632  0.666

Symmetry = C2
D(E_F) = 0.0 states/eV per cell
E_tot = -4.52 eV/atom
M_tot = 0.24 μB per atom